Below is crystalline CdSiP at its relaxed geometry, with properties calculated at the GGA-PBE level.

a b c (Å): 6.0207 6.0207 7.1383
angles (deg): 90.00 90.00 120.00
Sites, in units of the cell vectors:
Cd: 0.0708 0.7076 0.0000
Cd: 0.2924 0.3632 0.6667
Cd: 0.6368 0.9292 0.3333
Si: 0.5550 0.4169 0.9918
Si: 0.5831 0.1381 0.6585
Si: 0.8619 0.4450 0.3252
P: 0.4865 0.4505 0.3093
P: 0.5495 0.0360 0.9760
P: 0.9640 0.5135 0.6426

Energy relative to the lowest polymorph listed for this composition   0.636 eV per formula unit
Formation energy from raw total energies   252 meV/atom
Magnetic moment   0.00 Bohr magnetons per cell
E_tot   -3.66 eV per atom
SG   P3_2 (145)